1.
Computed, not measured: a geometry-optimized LaSmPBr structure at the PBE level of DFT.

The value obtained for the uncorrected energy is -5.711 eV per atom.

The space group is R3m (No. 160, hexagonal axes) and the conventional cell measures 4.1176, 4.1176 and 22.6126 Å, with angles of 90.00, 90.00 and 120.00 degrees. Symmetry generates all atoms from La at (0.0000, 0.0000, 0.0000), Sm at (0.0000, 0.0000, 0.8027), P at (0.0000, 0.0000, 0.4056) and Br at (0.0000, 0.0000, 0.2303).

2.
Computed, not measured: a geometry-optimized Ti2IrC structure at the PBE level of DFT.

For the energy of formation from the pure elements, the calculation gives -0.729 eV/atom.

The space group is R-3m (No. 166, hexagonal axes) and the conventional cell measures 2.9631, 2.9631 and 20.2964 Å, with angles of 90.00, 90.00 and 120.00 degrees. Symmetry generates all atoms from Ti at (0.0000, 0.0000, 0.2270), Ir at (0.0000, 0.0000, 0.0000) and C at (0.0000, 0.0000, 0.5000).

| no. | DOS(E_F) (states/eV per atom) |
| --- | --- |
| 1 | 0.3646 |
| 2 | 0.5607 |